# 1
# LaMgNb3, optimized geometry, DFT PBE-GGA
data_LaMgNb3
_chemical_formula_sum 'La1 Mg1 Nb3'
_cell_length_a 4.9318
_cell_length_b 4.9318
_cell_length_c 4.9318
_cell_angle_alpha 90.00
_cell_angle_beta 90.00
_cell_angle_gamma 90.00
_symmetry_space_group_name_H-M 'P m -3 m'
_symmetry_Int_Tables_number 221
_symmetry_space_group_name_Hall '-P 4 2 3'
loop_
_atom_site_label
_atom_site_type_symbol
_atom_site_fract_x
_atom_site_fract_y
_atom_site_fract_z
_atom_site_occupancy
La1 La 0.0000 0.0000 0.0000 1
Mg1 Mg 0.5000 0.5000 0.5000 1
Nb1 Nb 0.0000 0.0000 0.5000 1
# ΔE_f   1581 meV per atom
# Energy   -5.7652 eV/atom
# Total moment   0.00 μB/f.u.
# Crystal system   cubic
# Mass density   6.1 g cm⁻³



# 2
# LaMg6Nb, optimized geometry, DFT PBE-GGA
data_LaMg6Nb
_chemical_formula_sum 'La2 Mg12 Nb2'
_cell_length_a 5.1689
_cell_length_b 6.0864
_cell_length_c 12.0758
_cell_angle_alpha 90.00
_cell_angle_beta 90.00
_cell_angle_gamma 90.00
_symmetry_space_group_name_H-M 'A m m 2'
_symmetry_Int_Tables_number 38
loop_
_symmetry_equiv_pos_as_xyz
'x,y,z'
'-x,-y,z'
'-x,y,z'
'x,-y,z'
'x,y+1/2,z+1/2'
'-x,-y+1/2,z+1/2'
'-x,y+1/2,z+1/2'
'x,-y+1/2,z+1/2'
loop_
_atom_site_label
_atom_site_type_symbol
_atom_site_fract_x
_atom_site_fract_y
_atom_site_fract_z
_atom_site_occupancy
La1 La 0.0000 0.0000 0.0000 1
Mg1 Mg 0.0000 0.2461 0.7453 1
Mg2 Mg 0.5000 0.0000 0.1666 1
Mg3 Mg 0.5000 0.0000 0.6248 1
Mg4 Mg 0.5000 0.2394 0.3963 1
Nb1 Nb 0.0000 0.0000 0.4800 1
# ΔE_f   182 meV per atom
# Energy   -2.8888 eV/atom
# Relative energy among the computed polymorphs   0.012 eV per atom
# Total moment   0.46 μB/f.u.
# Crystal system   orthorhombic
# Mass density   3.3 g cm⁻³



# 3
# La3MgNb, optimized geometry, DFT PBE-GGA
data_La3MgNb
_chemical_formula_sum 'La3 Mg1 Nb1'
_cell_length_a 5.6481
_cell_length_b 5.6481
_cell_length_c 5.6481
_cell_angle_alpha 90.00
_cell_angle_beta 90.00
_cell_angle_gamma 90.00
_symmetry_space_group_name_H-M 'P m -3 m'
_symmetry_Int_Tables_number 221
_symmetry_space_group_name_Hall '-P 4 2 3'
loop_
_atom_site_label
_atom_site_type_symbol
_atom_site_fract_x
_atom_site_fract_y
_atom_site_fract_z
_atom_site_occupancy
La1 La 0.0000 0.0000 0.5000 1
Mg1 Mg 0.5000 0.5000 0.5000 1
Nb1 Nb 0.0000 0.0000 0.0000 1
# ΔE_f   327 meV per atom
# Energy   -4.9626 eV/atom
# Relative energy among the computed polymorphs   0.000 eV per atom
# Total moment   0.00 μB/f.u.
# Crystal system   cubic
# Mass density   4.9 g cm⁻³



# 4
# LaMg6Nb, optimized geometry, DFT PBE-GGA
data_LaMg6Nb
_chemical_formula_sum 'La2 Mg12 Nb2'
_cell_length_a 5.0591
_cell_length_b 6.4434
_cell_length_c 11.6017
_cell_angle_alpha 90.00
_cell_angle_beta 90.00
_cell_angle_gamma 90.00
_symmetry_space_group_name_H-M 'A m m 2'
_symmetry_Int_Tables_number 38
loop_
_symmetry_equiv_pos_as_xyz
'x,y,z'
'-x,-y,z'
'-x,y,z'
'x,-y,z'
'x,y+1/2,z+1/2'
'-x,-y+1/2,z+1/2'
'-x,y+1/2,z+1/2'
'x,-y+1/2,z+1/2'
loop_
_atom_site_label
_atom_site_type_symbol
_atom_site_fract_x
_atom_site_fract_y
_atom_site_fract_z
_atom_site_occupancy
La1 La 0.0000 0.0000 0.0000 1
Mg1 Mg 0.0000 0.0000 0.5313 1
Mg2 Mg 0.0000 0.2408 0.7693 1
Mg3 Mg 0.5000 0.0000 0.3739 1
Mg4 Mg 0.5000 0.2435 0.6276 1
Nb1 Nb 0.5000 0.0000 0.8857 1
# ΔE_f   170 meV per atom
# Energy   -2.9009 eV/atom
# Relative energy among the computed polymorphs   0.000 eV per atom
# Total moment   0.00 μB/f.u.
# Crystal system   orthorhombic
# Mass density   3.3 g cm⁻³



# 5
# LaMgNb2S, optimized geometry, DFT PBE-GGA
data_LaMgNb2S
_chemical_formula_sum 'La1 Mg1 Nb2 S1'
_cell_length_a 4.6910
_cell_length_b 4.6910
_cell_length_c 5.4536
_cell_angle_alpha 90.00
_cell_angle_beta 90.00
_cell_angle_gamma 90.00
_symmetry_space_group_name_H-M 'P 4/m m m'
_symmetry_Int_Tables_number 123
_symmetry_space_group_name_Hall '-P 4 2'
loop_
_atom_site_label
_atom_site_type_symbol
_atom_site_fract_x
_atom_site_fract_y
_atom_site_fract_z
_atom_site_occupancy
La1 La 0.0000 0.0000 0.0000 1
Mg1 Mg 0.5000 0.5000 0.0000 1
Nb1 Nb 0.0000 0.5000 0.5000 1
S1 S 0.0000 0.0000 0.5000 1
# Energy   -6.2178 eV/atom
# Total moment   0.00 μB/f.u.
# Formation energy (no corrections)   -0.3 eV/f.u.
# Crystal system   tetragonal
# Mass density   5.3 g cm⁻³



# 6
# LaMgNbSb2, optimized geometry, DFT PBE-GGA
data_LaMgNbSb2
_chemical_formula_sum 'La1 Mg1 Nb1 Sb2'
_cell_length_a 6.0014
_cell_length_b 6.0014
_cell_length_c 5.1802
_cell_angle_alpha 90.00
_cell_angle_beta 90.00
_cell_angle_gamma 90.00
_symmetry_space_group_name_H-M 'P 4/m m m'
_symmetry_Int_Tables_number 123
_symmetry_space_group_name_Hall '-P 4 2'
loop_
_atom_site_label
_atom_site_type_symbol
_atom_site_fract_x
_atom_site_fract_y
_atom_site_fract_z
_atom_site_occupancy
La1 La 0.0000 0.0000 0.0000 1
Mg1 Mg 0.5000 0.5000 0.5000 1
Nb1 Nb 0.0000 0.0000 0.5000 1
Sb1 Sb 0.0000 0.5000 0.0000 1
# Energy   -3.8153 eV/atom
# Total moment   1.81 μB/f.u.
# Formation energy (no corrections)   5.8 eV/f.u.
# Crystal system   tetragonal
# Mass density   4.4 g cm⁻³